Record 1
! GGA-PBE Pr5Ho3, optimized geometry; values from VASP
&SYSTEM
  ibrav = 0, nat = 8, ntyp = 2
/
ATOMIC_SPECIES
Pr 140.91 Pr.upf
Ho 164.93 Ho.upf
ATOMIC_POSITIONS crystal
Pr 0.000 0.000 0.000
Pr 0.000 0.000 0.247
Pr 0.000 0.000 0.753
Pr 0.500 0.500 0.376
Pr 0.500 0.500 0.624
Ho 0.000 0.000 0.500
Ho 0.500 0.500 0.123
Ho 0.500 0.500 0.877
CELL_PARAMETERS angstrom
3.658 0.000 0.000
0.000 3.658 0.000
0.000 0.000 20.512
! excess energy over the best structure of this formula in the dataset: 0 meV/atom
! V: 274.4 Å³/f.u.
! E: -37.436 eV for the cell shown
! DOS(E_F): 12.7 states/eV per cell
! magnetic moment: 0.0 μB/f.u.
! SG: P4/mmm (123)
! energy relative to the elements: 24 meV/atom

Record 2
! GGA-PBE Pr5Ho3, optimized geometry; values from VASP
&SYSTEM
  ibrav = 0, nat = 16, ntyp = 2
/
ATOMIC_SPECIES
Pr 140.91 Pr.upf
Ho 164.93 Ho.upf
ATOMIC_POSITIONS crystal
Pr 0.000 0.000 0.000
Pr 0.000 0.087 0.576
Pr 0.000 0.576 0.087
Pr 0.252 0.330 0.832
Pr 0.252 0.832 0.330
Pr 0.253 0.749 0.749
Pr 0.500 0.494 0.494
Pr 0.747 0.749 0.749
Pr 0.748 0.330 0.832
Pr 0.748 0.832 0.330
Ho 0.000 0.497 0.497
Ho 0.252 0.248 0.248
Ho 0.500 0.000 0.000
Ho 0.500 0.084 0.580
Ho 0.500 0.580 0.084
Ho 0.748 0.248 0.248
CELL_PARAMETERS angstrom
7.368 0.000 0.000
0.000 5.879 6.375
0.000 -5.879 6.375
! excess energy over the best structure of this formula in the dataset: 6 meV/atom
! V: 276.2 Å³/f.u.
! E: -74.773 eV for the cell shown
! DOS(E_F): 27.5 states/eV per cell
! magnetic moment: 0.0 μB/f.u.
! SG: Amm2 (38)
! energy relative to the elements: 31 meV/atom

Record 3
! GGA-PBE PrHo2, optimized geometry; values from VASP
&SYSTEM
  ibrav = 0, nat = 3, ntyp = 2
/
ATOMIC_SPECIES
Pr 140.91 Pr.upf
Ho 164.93 Ho.upf
ATOMIC_POSITIONS crystal
Pr 0.000 0.000 0.000
Ho 0.220 0.220 0.662
Ho 0.780 0.780 0.338
CELL_PARAMETERS angstrom
3.135 -1.809 0.000
3.135 1.809 0.000
-2.103 0.000 8.645
! excess energy over the best structure of this formula in the dataset: 0 meV/atom
! V: 98.1 Å³/f.u.
! E: -13.946 eV for the cell shown
! DOS(E_F): 3.9 states/eV per cell
! magnetic moment: 0.0 μB/f.u.
! SG: C2/m (12)
! energy relative to the elements: -4 meV/atom